Here is crystalline SiAsAuO at its relaxed geometry from OQMD. Energies are from PBE.

Computed properties:
Space group = Pmc2_1 (26)
Energy relative to the lowest polymorph listed for this composition = 0.195 eV per atom

```
data_SiAsAuO
_cell_length_a 2.7513
_cell_length_b 9.1549
_cell_length_c 5.7366
_cell_angle_alpha 90.00
_cell_angle_beta 90.00
_cell_angle_gamma 90.00
_symmetry_space_group_name_H-M 'P 1'
_symmetry_Int_Tables_number 1
loop_
_symmetry_equiv_pos_as_xyz
'x,y,z'
loop_
_atom_site_label
_atom_site_type_symbol
_atom_site_fract_x
_atom_site_fract_y
_atom_site_fract_z
Si1 Si 0.0000 0.0961 0.0000
Si2 Si 0.0000 0.9039 0.5000
As1 As 0.0000 0.1604 0.4012
As2 As 0.0000 0.8396 0.9012
Au1 Au 0.5000 0.4861 0.5357
Au2 Au 0.5000 0.5139 0.0357
O1 O 0.5000 0.1706 0.8869
O2 O 0.5000 0.8294 0.3869
```


Here is crystalline SiAsAuO at its relaxed geometry from OQMD. Energies are from PBE.

Computed properties:
Space group = P4/nmm (129)
Energy relative to the lowest polymorph listed for this composition = 1.201 eV per atom

```
data_SiAsAuO
_cell_length_a 4.3141
_cell_length_b 4.3141
_cell_length_c 8.2043
_cell_angle_alpha 90.00
_cell_angle_beta 90.00
_cell_angle_gamma 90.00
_symmetry_space_group_name_H-M 'P 1'
_symmetry_Int_Tables_number 1
loop_
_symmetry_equiv_pos_as_xyz
'x,y,z'
loop_
_atom_site_label
_atom_site_type_symbol
_atom_site_fract_x
_atom_site_fract_y
_atom_site_fract_z
Si1 Si 0.2500 0.7500 0.0000
Si2 Si 0.7500 0.2500 0.0000
As1 As 0.2500 0.2500 0.1594
As2 As 0.7500 0.7500 0.8406
Au1 Au 0.2500 0.2500 0.5494
Au2 Au 0.7500 0.7500 0.4506
O1 O 0.2500 0.7500 0.5000
O2 O 0.7500 0.2500 0.5000
```


Question: Which value of energy relative to the lowest polymorph listed for this composition does entry 2 give?
Answer: 1.201 eV per atom